Record 1
Density functional theory data (GGA-PBE) for an optimized crystal structure of BePPdO2.

a = 3.3003 Å, b = 3.3003 Å, c = 6.4464 Å
α = 90.00°, β = 90.00°, γ = 90.00°
Space group P4/mmm (No. 123)
Asymmetric unit:
Be  0.0000  0.0000  0.0000
P  0.0000  0.0000  0.5000
Pd  0.5000  0.5000  0.5000
O  0.0000  0.5000  0.0000

theoretical density = 4.22 g cm⁻³
energy above the most stable polymorph in this dataset = 0.0 meV/atom
uncorrected formation energy = -0.310 eV/atom
energy = -5.160 eV/atom

Record 2
Density functional theory data (GGA-PBE) for an optimized crystal structure of BePPdO2.

a = 3.7922 Å, b = 3.7922 Å, c = 5.1504 Å
α = 90.00°, β = 90.00°, γ = 90.00°
Space group P4/mmm (No. 123)
Asymmetric unit:
Be  0.0000  0.0000  0.0000
P  0.5000  0.5000  0.0000
Pd  0.5000  0.5000  0.5000
O  0.0000  0.5000  0.5000

theoretical density = 4.00 g cm⁻³
energy above the most stable polymorph in this dataset = 840.9 meV/atom
uncorrected formation energy = 0.530 eV/atom
energy = -4.319 eV/atom

Record 3
Density functional theory data (GGA-PBE) for an optimized crystal structure of PmBePO.

a = 3.8569 Å, b = 3.8569 Å, c = 9.9876 Å
α = 90.00°, β = 90.00°, γ = 120.00°
Space group P6_3mc (No. 186)
Asymmetric unit:
Pm  0.3333  0.6667  0.0000
Be  0.0000  0.0000  0.2320
P  0.3333  0.6667  0.3007
O  0.0000  0.0000  0.0727

theoretical density = 5.19 g cm⁻³
uncorrected formation energy = -1.938 eV/atom
energy = -6.649 eV/atom